# 1
First-principles (GGA-PBEsol) data for an optimized crystal structure of SrHg2PAu, as listed in the Alexandria database.

Properties
E_form = -121 meV per atom
SG = P4/mmm (123)

a b c (Å): 5.067 5.067 4.906
angles (deg): 90.00 90.00 90.00
Atoms (fractional coordinates):
Sr1 0.000 0.000 0.000
Hg1 0.000 0.500 0.500
Hg2 0.500 0.000 0.500
P1 0.500 0.500 0.500
Au1 0.500 0.500 0.000

---

# 2
First-principles (GGA-PBEsol) data for an optimized crystal structure of Sr2TlCu, as listed in the Alexandria database.

Properties
E_form = -159 meV per atom
SG = P4/mmm (123)

a b c (Å): 3.797 3.797 7.981
angles (deg): 90.00 90.00 90.00
Atoms (fractional coordinates):
Sr1 0.000 0.000 0.229
Sr2 0.000 0.000 0.771
Tl1 0.500 0.500 0.500
Cu1 0.500 0.500 0.000

---

# 3
First-principles (GGA-PBEsol) data for an optimized crystal structure of Mg2TcP, as listed in the Alexandria database.

Properties
E_form = 99 meV per atom
SG = Cmmm (65)

a b c (Å): 4.988 4.988 2.710
angles (deg): 90.00 90.00 115.00
Atoms (fractional coordinates):
Mg1 0.000 0.500 0.000
Mg2 0.500 0.000 0.000
Tc1 0.000 0.000 0.500
P1 0.500 0.500 0.500

---

# 4
First-principles (GGA-PBEsol) data for an optimized crystal structure of Zr2AgIr2, as listed in the Alexandria database.

Properties
E_form = -250 meV per atom
SG = I4/mmm (139)

a b c (Å): 6.140 6.140 6.140
angles (deg): 137.77 137.77 61.25
Atoms (fractional coordinates):
Zr1 0.250 0.750 0.500
Zr2 0.750 0.250 0.500
Ag1 0.000 0.000 0.000
Ir1 0.383 0.383 0.000
Ir2 0.617 0.617 0.000

---

- Which value of E_form does entry 3 give?
  99 meV per atom

---

- Which of these has the lowest E_form?
  Zr2AgIr2